A relaxed La2ZnCu4Ge3 crystal. Source: Alexandria, functional PBE-GGA.

Geometry as POSCAR:
```
La2ZnCu4Ge3
1.0
4.254 0.000 0.000
0.000 4.254 0.000
0.000 0.000 10.139
La Zn Cu Ge
2 1 4 3
Cartesian
0.000 2.127 2.464 La
2.127 0.000 7.675 La
0.000 0.000 5.070 Zn
0.000 0.000 0.000 Cu
0.000 2.127 6.377 Cu
2.127 0.000 3.763 Cu
2.127 2.127 0.000 Cu
0.000 2.127 8.811 Ge
2.127 0.000 1.329 Ge
2.127 2.127 5.070 Ge
```

Properties
- D(E_F): 0.543 states/eV per atom
- Crystal system: tetragonal
- Energy of formation: -5.02 eV/f.u.